No. 1
Compound: Pr6Tl3Ag
Source: Alexandria
Functional: PBE-GGA
Structure: relaxed

The space group is Pnnm (No. 58) and the conventional cell measures 9.5376, 12.3506 and 5.4613 Å, with angles of 90.00, 90.00 and 90.00 degrees. Symmetry generates all atoms from Pr at (0.0032, 0.2451, 0.0000), Pr at (0.1652, 0.0859, 0.5000), Pr at (0.1712, 0.4174, 0.5000), Tl at (0.0000, 0.5000, 0.0000), Tl at (0.1648, 0.7487, 0.5000) and Ag at (0.0000, 0.0000, 0.0000).

The value obtained for the magnetization is 0.128 μB per atom. The calculation puts the total energy at -4.074 eV/atom. The formation energy comes out at -2.11 eV per formula unit. For the volume, the calculation gives 643 Å³ per cell. The calculation puts the distance to the lowest polymorph of the same formula at 43 meV per atom.



No. 2
Compound: Pr12Tl3Ag
Source: Alexandria
Functional: PBE-GGA
Structure: relaxed

The space group is P4/mmm (No. 123) and the conventional cell measures 5.0258, 5.0258 and 19.9672 Å, with angles of 90.00, 90.00 and 90.00 degrees. Symmetry generates all atoms from Pr at (0.0000, 0.0000, 0.0000), Pr at (0.0000, 0.0000, 0.2460), Pr at (0.0000, 0.0000, 0.5000), Pr at (0.0000, 0.5000, 0.1217), Pr at (0.0000, 0.5000, 0.3734), Tl at (0.5000, 0.5000, 0.2472), Tl at (0.5000, 0.5000, 0.5000) and Ag at (0.5000, 0.5000, 0.0000).

The value obtained for the magnetization is 0.000 μB per atom. The calculation puts the total energy at -4.365 eV/atom. The formation energy comes out at -2.53 eV per formula unit. For the volume, the calculation gives 504 Å³ per cell.



Copy entry 2 word for word.
Compound: Pr12Tl3Ag
Source: Alexandria
Functional: PBE-GGA
Structure: relaxed

The space group is P4/mmm (No. 123) and the conventional cell measures 5.0258, 5.0258 and 19.9672 Å, with angles of 90.00, 90.00 and 90.00 degrees. Symmetry generates all atoms from Pr at (0.0000, 0.0000, 0.0000), Pr at (0.0000, 0.0000, 0.2460), Pr at (0.0000, 0.0000, 0.5000), Pr at (0.0000, 0.5000, 0.1217), Pr at (0.0000, 0.5000, 0.3734), Tl at (0.5000, 0.5000, 0.2472), Tl at (0.5000, 0.5000, 0.5000) and Ag at (0.5000, 0.5000, 0.0000).

The value obtained for the magnetization is 0.000 μB per atom. The calculation puts the total energy at -4.365 eV/atom. The formation energy comes out at -2.53 eV per formula unit. For the volume, the calculation gives 504 Å³ per cell.



Question: volume of number 1 (Pr6Tl3Ag)?
Answer: 643 Å³ per cell